[1]
Material: AlBMo
Method: DFT, PBE-GGA
State: optimized geometry

POSCAR file:
```
AlBMo
1.0
5.6062 0.0000 0.0000
0.0000 5.6062 0.0000
0.0000 0.0000 5.6062
Al B Mo
4 4 4
direct
0.0000 0.0000 0.0000 Al
0.0000 0.5000 0.5000 Al
0.5000 0.0000 0.5000 Al
0.5000 0.5000 0.0000 Al
0.0000 0.0000 0.5000 B
0.0000 0.5000 0.0000 B
0.5000 0.0000 0.0000 B
0.5000 0.5000 0.5000 B
0.2500 0.2500 0.2500 Mo
0.2500 0.7500 0.7500 Mo
0.7500 0.2500 0.7500 Mo
0.7500 0.7500 0.2500 Mo
```

Total DFT energy (no corrections) in eV per atom: -6.078
V in Å³/atom: 14.68
Total magnetic moment in μB/atom: 0.24
SG: F-43m, No. 216

---

[2]
Material: ZrInCuTe3
Method: DFT, PBE-GGA
State: optimized geometry

POSCAR file:
```
ZrInCuTe3
1.0
9.3462 -2.0257 0.0000
9.3462 2.0257 0.0000
-1.4761 0.0000 8.7408
Zr In Cu Te
2 2 2 6
direct
0.1623 0.1623 0.0883 Zr
0.8377 0.8377 0.9117 Zr
0.1259 0.1259 0.5736 In
0.8741 0.8741 0.4264 In
0.4510 0.4510 0.7959 Cu
0.5490 0.5490 0.2041 Cu
0.0000 0.0000 0.0000 Te
0.3157 0.3157 0.6736 Te
0.3236 0.3236 0.1429 Te
0.5000 0.5000 0.5000 Te
0.6764 0.6764 0.8571 Te
0.6843 0.6843 0.3264 Te
```

Total DFT energy (no corrections) in eV per atom: -4.491
V in Å³/atom: 27.58
Total magnetic moment in μB/atom: 0.00
SG: C2/m, No. 12

---

[3]
Material: LiFeHgBi
Method: DFT, PBE-GGA
State: optimized geometry

POSCAR file:
```
LiFeHgBi
1.0
6.7283 0.0000 0.0000
0.0000 6.7283 0.0000
0.0000 0.0000 6.7283
Li Fe Hg Bi
4 4 4 4
direct
0.0000 0.0000 0.0000 Li
0.0000 0.5000 0.5000 Li
0.5000 0.0000 0.5000 Li
0.5000 0.5000 0.0000 Li
0.0000 0.0000 0.5000 Fe
0.0000 0.5000 0.0000 Fe
0.5000 0.0000 0.0000 Fe
0.5000 0.5000 0.5000 Fe
0.2500 0.2500 0.7500 Hg
0.2500 0.7500 0.2500 Hg
0.7500 0.2500 0.2500 Hg
0.7500 0.7500 0.7500 Hg
0.2500 0.2500 0.2500 Bi
0.2500 0.7500 0.7500 Bi
0.7500 0.2500 0.7500 Bi
0.7500 0.7500 0.2500 Bi
```

Total DFT energy (no corrections) in eV per atom: -3.481
V in Å³/atom: 19.04
Total magnetic moment in μB/atom: 0.62
Offset from the most stable computed form in meV/atom: 0.0
SG: F-43m, No. 216

---

[4]
Material: Y2GaNi2
Method: DFT, PBE-GGA
State: optimized geometry

POSCAR file:
```
Y2GaNi2
1.0
4.8983 0.0000 0.0000
0.0000 4.8983 0.0000
0.0000 0.0000 7.7368
Y Ga Ni
4 2 4
direct
0.0000 0.5000 0.2500 Y
0.0000 0.5000 0.7500 Y
0.5000 0.0000 0.2500 Y
0.5000 0.0000 0.7500 Y
0.0000 0.0000 0.0000 Ga
0.5000 0.5000 0.5000 Ga
0.0000 0.0000 0.3581 Ni
0.0000 0.0000 0.6419 Ni
0.5000 0.5000 0.1419 Ni
0.5000 0.5000 0.8581 Ni
```

Total DFT energy (no corrections) in eV per atom: -5.622
V in Å³/atom: 18.56
Total magnetic moment in μB/atom: 0.00
SG: I4/mmm, No. 139

---

[5]
Material: TcNiHgB
Method: DFT, PBE-GGA
State: optimized geometry

POSCAR file:
```
TcNiHgB
1.0
5.9912 0.0000 0.0000
0.0000 5.9912 0.0000
0.0000 0.0000 5.9912
Tc Ni Hg B
4 4 4 4
direct
0.0000 0.0000 0.0000 Tc
0.0000 0.5000 0.5000 Tc
0.5000 0.0000 0.5000 Tc
0.5000 0.5000 0.0000 Tc
0.0000 0.0000 0.5000 Ni
0.0000 0.5000 0.0000 Ni
0.5000 0.0000 0.0000 Ni
0.5000 0.5000 0.5000 Ni
0.2500 0.2500 0.7500 Hg
0.2500 0.7500 0.2500 Hg
0.7500 0.2500 0.2500 Hg
0.7500 0.7500 0.7500 Hg
0.2500 0.2500 0.2500 B
0.2500 0.7500 0.7500 B
0.7500 0.2500 0.7500 B
0.7500 0.7500 0.2500 B
```

Total DFT energy (no corrections) in eV per atom: -4.797
V in Å³/atom: 13.44
Total magnetic moment in μB/atom: 0.09
Offset from the most stable computed form in meV/atom: 87.9
SG: F-43m, No. 216

---

[6]
Material: KLiMoPd
Method: DFT, PBE-GGA
State: optimized geometry

POSCAR file:
```
KLiMoPd
1.0
7.0487 0.0000 0.0000
0.0000 7.0487 0.0000
0.0000 0.0000 7.0487
K Li Mo Pd
4 4 4 4
direct
0.0000 0.0000 0.0000 K
0.0000 0.5000 0.5000 K
0.5000 0.0000 0.5000 K
0.5000 0.5000 0.0000 K
0.0000 0.0000 0.5000 Li
0.0000 0.5000 0.0000 Li
0.5000 0.0000 0.0000 Li
0.5000 0.5000 0.5000 Li
0.2500 0.2500 0.2500 Mo
0.2500 0.7500 0.7500 Mo
0.7500 0.2500 0.7500 Mo
0.7500 0.7500 0.2500 Mo
0.2500 0.2500 0.7500 Pd
0.2500 0.7500 0.2500 Pd
0.7500 0.2500 0.2500 Pd
0.7500 0.7500 0.7500 Pd
```

Total DFT energy (no corrections) in eV per atom: -3.631
V in Å³/atom: 21.89
Total magnetic moment in μB/atom: 1.09
Offset from the most stable computed form in meV/atom: 201.6
SG: F-43m, No. 216

---

Q: total magnetic moment of number 2 (ZrInCuTe3)?
A: 0.00 μB/atom